Record 1
Entry from the Open Quantum Materials Database: a relaxed structure of NaDyHgSe3 (GGA-PBE).

The total magnetic moment comes out at 0.000 μB/atom. For the distance to the lowest polymorph of the same formula, the calculation gives 39.1 meV/atom.

The structure belongs to space group C2/m (No. 12); the cell edges are 18.0972, 4.1089 and 8.9948 Å and the angles 90.00°, 104.62° and 90.00°. Symmetry generates all atoms from Na at (0.1312, 0.0000, 0.0739), Dy at (0.1769, 0.0000, 0.5943), Hg at (0.0253, 0.5000, 0.7247), Se at (0.0000, 0.0000, 0.5000), Se at (0.0000, 0.5000, 0.0000), Se at (0.1646, 0.5000, 0.3665) and Se at (0.1808, 0.5000, 0.8198).

---

Record 2
Entry from the Open Quantum Materials Database: a relaxed structure of Au5O (GGA-PBE).

The value obtained for the total energy is -2.992 eV/atom.

The structure belongs to space group P6/mmm (No. 191); the cell edges are 5.3825, 5.3825 and 4.7391 Å and the angles 90.00°, 90.00° and 120.00°. Symmetry generates all atoms from Au at (0.0000, 0.5000, 0.0000), Au at (0.3333, 0.6667, 0.5000) and O at (0.0000, 0.0000, 0.5000).

---

Record 3
Entry from the Open Quantum Materials Database: a relaxed structure of Ta2Ni (GGA-PBE).

The energy relative to the elements is 64.47 kJ per mole of atoms. The total magnetic moment comes out at 0.001 μB/atom.

The structure belongs to space group P6_3/mmc (No. 194); the cell edges are 5.2963, 5.2963 and 17.2113 Å and the angles 90.00°, 90.00° and 120.00°. Symmetry generates all atoms from Ta at (0.0000, 0.5000, 0.0000), Ta at (0.1638, 0.3277, 0.2500), Ta at (0.3333, 0.6667, 0.1245), Ni at (0.0000, 0.0000, 0.0943) and Ni at (0.3333, 0.6667, 0.6553).

---

Record 4
Entry from the Open Quantum Materials Database: a relaxed structure of CsHfPt (GGA-PBE).

The total magnetic moment comes out at 0.002 μB/atom. For the distance to the lowest polymorph of the same formula, the calculation gives 0.0 meV/atom.

The structure belongs to space group F-43m (No. 216); the cell edges are 6.7810, 6.7810 and 6.7810 Å and the angles 90.00°, 90.00° and 90.00°. Symmetry generates all atoms from Cs at (0.0000, 0.0000, 0.0000), Hf at (0.2500, 0.2500, 0.2500) and Pt at (0.0000, 0.0000, 0.5000).

---

Record 5
Entry from the Open Quantum Materials Database: a relaxed structure of Tb2YAl3Si2Pt (GGA-PBE).

The value obtained for the total energy is -5.751 eV/atom. The total magnetic moment comes out at 0.000 μB/atom.

The structure belongs to space group Amm2 (No. 38); the cell edges are 4.2294, 12.0123 and 6.9354 Å and the angles 90.00°, 90.00° and 90.00°. Symmetry generates all atoms from Tb at (0.0000, 0.2086, 0.0000), Y at (0.0000, 0.0000, 0.3738), Al at (0.5000, 0.0000, 0.0280), Al at (0.5000, 0.1182, 0.6729), Si at (0.5000, 0.1664, 0.2914) and Pt at (0.0000, 0.0000, 0.7911).

---

Record 6
Entry from the Open Quantum Materials Database: a relaxed structure of PrPaNO (GGA-PBE).

The total magnetic moment comes out at 0.005 μB/atom. For the distance to the lowest polymorph of the same formula, the calculation gives 141.6 meV/atom.

The structure belongs to space group Pmc2_1 (No. 26); the cell edges are 3.8675, 6.7794 and 6.2273 Å and the angles 90.00°, 90.00° and 90.00°. Symmetry generates all atoms from Pr at (0.0000, 0.1629, 0.0000), Pa at (0.5000, 0.3366, 0.4904), N at (0.0000, 0.1863, 0.4101) and O at (0.5000, 0.3517, 0.8481).

---

Record 7
Entry from the Open Quantum Materials Database: a relaxed structure of PmSbPt (GGA-PBE).

The total magnetic moment comes out at 0.000 μB/atom. For the distance to the lowest polymorph of the same formula, the calculation gives 0.0 meV/atom.

The structure belongs to space group F-43m (No. 216); the cell edges are 6.7172, 6.7172 and 6.7172 Å and the angles 90.00°, 90.00° and 90.00°. Symmetry generates all atoms from Pm at (0.0000, 0.0000, 0.0000), Sb at (0.0000, 0.0000, 0.5000) and Pt at (0.2500, 0.2500, 0.7500).

---

Record 8
Entry from the Open Quantum Materials Database: a relaxed structure of Lu4SbPC2 (GGA-PBE).

The value obtained for the total energy is -6.524 eV/atom. The total magnetic moment comes out at 0.000 μB/atom.

The structure belongs to space group P-6m2 (No. 187); the cell edges are 3.5787, 3.5787 and 13.9840 Å and the angles 90.00°, 90.00° and 120.00°. Symmetry generates all atoms from Lu at (0.0000, 0.0000, 0.1340), Lu at (0.6667, 0.3333, 0.3197), Sb at (0.0000, 0.0000, 0.5000), P at (0.6667, 0.3333, 0.0000) and C at (0.3333, 0.6667, 0.2342).

---

Record 9
Entry from the Open Quantum Materials Database: a relaxed structure of Al2Ag2Te3S (GGA-PBE).

The value obtained for the total energy is -3.776 eV/atom.

The structure belongs to space group C2 (No. 5); the cell edges are 13.0987, 6.3228 and 6.2214 Å and the angles 90.00°, 116.79° and 90.00°. Symmetry generates all atoms from Al at (0.1171, 0.0000, 0.3865), Ag at (0.1150, 0.5395, 0.8475), Te at (0.0000, 0.2355, 0.0000), Te at (0.2494, 0.2634, 0.7305) and S at (0.0000, 0.8066, 0.5000).

---

Record 10
Entry from the Open Quantum Materials Database: a relaxed structure of BeTlReNi (GGA-PBE).

The value obtained for the total energy is -5.307 eV/atom. The total magnetic moment comes out at 0.357 μB/atom.

The structure belongs to space group F-43m (No. 216); the cell edges are 6.0841, 6.0841 and 6.0841 Å and the angles 90.00°, 90.00° and 90.00°. Symmetry generates all atoms from Be at (0.0000, 0.0000, 0.0000), Tl at (0.2500, 0.2500, 0.2500), Re at (0.2500, 0.2500, 0.7500) and Ni at (0.0000, 0.0000, 0.5000).

---

Record 11
Entry from the Open Quantum Materials Database: a relaxed structure of NdHo2Cd4In2 (GGA-PBE).

The value obtained for the total energy is -2.952 eV/atom. The total magnetic moment comes out at 0.001 μB/atom.

The structure belongs to space group Amm2 (No. 38); the cell edges are 4.6455, 13.1164 and 7.4602 Å and the angles 90.00°, 90.00° and 90.00°. Symmetry generates all atoms from Nd at (0.0000, 0.0000, 0.0000), Ho at (0.0000, 0.2135, 0.6370), Cd at (0.0000, 0.0000, 0.4344), Cd at (0.5000, 0.0000, 0.6700), Cd at (0.5000, 0.1205, 0.3053) and In at (0.5000, 0.1697, 0.9243).

---

Record 12
Entry from the Open Quantum Materials Database: a relaxed structure of BaCdSO (GGA-PBE).

The value obtained for the total energy is -4.554 eV/atom.

The structure belongs to space group Pca2_1 (No. 29); the cell edges are 6.5156, 9.6731 and 6.3260 Å and the angles 90.00°, 90.00° and 90.00°. Symmetry generates all atoms from Ba at (0.0033, 0.1754, 0.0000), Cd at (0.0801, 0.5848, 0.9492), S at (0.0057, 0.1570, 0.5015) and O at (0.1050, 0.5766, 0.5939).

---

Record 13
Entry from the Open Quantum Materials Database: a relaxed structure of Pr6TcO12 (GGA-PBE).

The value obtained for the total energy is -8.106 eV/atom. The total magnetic moment comes out at 0.053 μB/atom.

The structure belongs to space group R-3 (No. 148, hexagonal axes); the cell edges are 10.1791, 10.1791 and 9.7780 Å and the angles 90.00°, 90.00° and 120.00°. Symmetry generates all atoms from Pr at (0.0475, 0.7898, 0.1460), Tc at (0.0000, 0.0000, 0.5000), O at (0.0382, 0.8124, 0.9034) and O at (0.0405, 0.8611, 0.3920).

---

Record 14
Entry from the Open Quantum Materials Database: a relaxed structure of InAu (GGA-PBE).

The value obtained for the total energy is -3.116 eV/atom.

The structure belongs to space group P6/mmm (No. 191); the cell edges are 5.8602, 5.8602 and 4.7443 Å and the angles 90.00°, 90.00° and 120.00°. Symmetry generates all atoms from In at (0.0000, 0.0000, 0.0000), In at (0.3333, 0.6667, 0.5000) and Au at (0.0000, 0.5000, 0.0000).

---

Record 15
Entry from the Open Quantum Materials Database: a relaxed structure of TaFeNiB (GGA-PBE).

The total magnetic moment comes out at 0.377 μB/atom. For the distance to the lowest polymorph of the same formula, the calculation gives 0.0 meV/atom.

The structure belongs to space group F-43m (No. 216); the cell edges are 5.6791, 5.6791 and 5.6791 Å and the angles 90.00°, 90.00° and 90.00°. Symmetry generates all atoms from Ta at (0.0000, 0.0000, 0.0000), Fe at (0.0000, 0.0000, 0.5000), Ni at (0.2500, 0.2500, 0.7500) and B at (0.2500, 0.2500, 0.2500).

---

Record 16
Entry from the Open Quantum Materials Database: a relaxed structure of TbHo2P3 (GGA-PBE).

The value obtained for the total energy is -6.616 eV/atom. The total magnetic moment comes out at 0.000 μB/atom.

The structure belongs to space group P-3m1 (No. 164); the cell edges are 4.0004, 4.0004 and 9.7884 Å and the angles 90.00°, 90.00° and 120.00°. Symmetry generates all atoms from Tb at (0.0000, 0.0000, 0.0000), Ho at (0.3333, 0.6667, 0.3341), P at (0.0000, 0.0000, 0.5000) and P at (0.3333, 0.6667, 0.8313).

---

Record 17
Entry from the Open Quantum Materials Database: a relaxed structure of AlGaAu (GGA-PBE).

The value obtained for the total energy is -3.480 eV/atom.

The structure belongs to space group F-43m (No. 216); the cell edges are 6.1402, 6.1402 and 6.1402 Å and the angles 90.00°, 90.00° and 90.00°. Symmetry generates all atoms from Al at (0.0000, 0.0000, 0.0000), Ga at (0.2500, 0.2500, 0.2500) and Au at (0.2500, 0.2500, 0.7500).

---

Record 18
Entry from the Open Quantum Materials Database: a relaxed structure of DyHo3In2 (GGA-PBE).

The value obtained for the total energy is -4.321 eV/atom. The total magnetic moment comes out at 0.121 μB/atom.

The structure belongs to space group P-6m2 (No. 187); the cell edges are 5.3666, 5.3666 and 6.6935 Å and the angles 90.00°, 90.00° and 120.00°. Symmetry generates all atoms from Dy at (0.0000, 0.0000, 0.0000), Ho at (0.3333, 0.6667, 0.5000), Ho at (0.6667, 0.3333, 0.2507), In at (0.0000, 0.0000, 0.5000) and In at (0.3333, 0.6667, 0.0000).

---

Record 19
Entry from the Open Quantum Materials Database: a relaxed structure of GdDyGa2Ag2 (GGA-PBE).

The value obtained for the total energy is -4.000 eV/atom. The total magnetic moment comes out at 0.001 μB/atom.

The structure belongs to space group P-6m2 (No. 187); the cell edges are 4.6119, 4.6119 and 7.0336 Å and the angles 90.00°, 90.00° and 120.00°. Symmetry generates all atoms from Gd at (0.0000, 0.0000, 0.0000), Dy at (0.0000, 0.0000, 0.5000), Ga at (0.3333, 0.6667, 0.2843) and Ag at (0.6667, 0.3333, 0.2397).

---

Record 20
Entry from the Open Quantum Materials Database: a relaxed structure of Ho3Mg3AlTlAg (GGA-PBE).

The value obtained for the total energy is -3.359 eV/atom. The total magnetic moment comes out at 0.000 μB/atom.

The structure belongs to space group P-6 (No. 174); the cell edges are 7.5258, 7.5258 and 4.3789 Å and the angles 90.00°, 90.00° and 120.00°. Symmetry generates all atoms from Ho at (0.0892, 0.3426, 0.0000), Mg at (0.4275, 0.3378, 0.5000), Al at (0.3333, 0.6667, 0.5000), Tl at (0.0000, 0.0000, 0.5000) and Ag at (0.6667, 0.3333, 0.0000).

---

Record 21
Entry from the Open Quantum Materials Database: a relaxed structure of NiAgBOs (GGA-PBE).

The value obtained for the total energy is -5.814 eV/atom. The total magnetic moment comes out at 0.068 μB/atom.

The structure belongs to space group F-43m (No. 216); the cell edges are 5.7887, 5.7887 and 5.7887 Å and the angles 90.00°, 90.00° and 90.00°. Symmetry generates all atoms from Ni at (0.0000, 0.0000, 0.0000), Ag at (0.2500, 0.2500, 0.7500), B at (0.0000, 0.0000, 0.5000) and Os at (0.2500, 0.2500, 0.2500).

---

Record 22
Entry from the Open Quantum Materials Database: a relaxed structure of PmSiPO (GGA-PBE).

The total magnetic moment comes out at 0.001 μB/atom. For the distance to the lowest polymorph of the same formula, the calculation gives 520.2 meV/atom.

The structure belongs to space group P4/nmm (No. 129, origin choice 2); the cell edges are 5.7624, 5.7624 and 4.6417 Å and the angles 90.00°, 90.00° and 90.00°. Symmetry generates all atoms from Pm at (0.2500, 0.7500, 0.0000), Si at (0.2500, 0.2500, 0.4946), P at (0.2500, 0.2500, 0.9941) and O at (0.2500, 0.7500, 0.5000).

---

Record 23
Entry from the Open Quantum Materials Database: a relaxed structure of BaHfS3 (GGA-PBE).

The value obtained for the total energy is -6.668 eV/atom. The total magnetic moment comes out at 0.000 μB/atom.

The structure belongs to space group Pm-3m (No. 221); the cell edges are 5.0026, 5.0026 and 5.0026 Å and the angles 90.00°, 90.00° and 90.00°. Symmetry generates all atoms from Ba at (0.0000, 0.0000, 0.0000), Hf at (0.5000, 0.5000, 0.5000) and S at (0.0000, 0.5000, 0.5000).

---

Record 24
Entry from the Open Quantum Materials Database: a relaxed structure of SrLaAgN (GGA-PBE).

The total magnetic moment comes out at 0.002 μB/atom. For the distance to the lowest polymorph of the same formula, the calculation gives 0.0 meV/atom.

The structure belongs to space group Cmcm (No. 63); the cell edges are 3.8566, 19.1835 and 5.2518 Å and the angles 90.00°, 90.00° and 90.00°. Symmetry generates all atoms from Sr at (0.0000, 0.0959, 0.2500), La at (0.0000, 0.2907, 0.2500), Ag at (0.0000, 0.4614, 0.2500) and N at (0.0000, 0.2856, 0.7500).

---

Calculated volume list, top to bottom, in Å³/cell: 647.21 118.90 418.12 311.80 352.35 163.27 303.08 155.10 459.96 225.21 454.56 398.70 877.40 141.10 183.16 135.66 231.50 166.95 129.56 214.78 193.97 154.13 125.19 388.54